Be2SbMo: optimized geometry, PBEsol.

```
data_Be2SbMo
_cell_length_a 2.781
_cell_length_b 2.781
_cell_length_c 7.859
_cell_angle_alpha 90.00
_cell_angle_beta 90.00
_cell_angle_gamma 90.00
_symmetry_space_group_name_H-M 'P 4/m m m'
_symmetry_Int_Tables_number 123
_symmetry_space_group_name_Hall '-P 4 2'
loop_
_atom_site_label
_atom_site_type_symbol
_atom_site_fract_x
_atom_site_fract_y
_atom_site_fract_z
Be1 Be 0.000 0.000 0.209
Sb1 Sb 0.500 0.500 0.500
Mo1 Mo 0.500 0.500 0.000
```

Properties
- Total magnetization: 0.00 μB per formula unit
- ΔE_f (raw): 0.574 eV per atom
- D(E_F): 0.592 states/eV/atom